First-principles (GGA-PBE) data for a relaxed Mn2SiTc crystal, as listed in Alexandria via LeMat-Bulk.

Lattice parameters (Å, degrees): 2.874 2.874 5.877 90.00 90.00 90.00
Space group P4mm (No. 99)
Inequivalent atoms, fractional coordinates:
Mn 0.000 0.000 0.000 (multiplicity 1)
Mn 0.500 0.500 0.241 (multiplicity 1)
Si 0.000 0.000 0.466 (multiplicity 1)
Tc 0.500 0.500 0.728 (multiplicity 1)

Calculated total energy   -8.746 eV/atom
E_form (uncorrected)   -0.21 eV/atom